Compound: TaCl2F
Source: the Alexandria database
Functional: PBE
Structure: relaxed

Properties
Energy relative to the elements, uncorrected (meV per atom): -1384.9
Space group: I-42d, No. 122
E above lowest polymorph (eV/atom): 0.000
Electronic total energy (eV per atom): -5.74

Cell: 9.1325 9.1325 6.7804 Å, 47.67 47.67 90.00°
Last column: nearest neighbours and their distance in Å.
Positions (direct):
Cl (0.9677, 0.6250, 0.2500)  2 Ta 2.49
F (0.2500, 0.7500, 0.5000)  2 Ta 2.07
Cl (0.8750, 0.0323, 0.7500)  2 Ta 2.49
Ta (0.7500, 0.2500, 0.5000)  2 F 2.07
Ta (0.0000, 0.0000, 0.0000)  2 F 2.07
Cl (0.3750, 0.2177, 0.7500)  2 Ta 2.49
Cl (0.7823, 0.1250, 0.2500)  2 Ta 2.49
F (0.5000, 0.5000, 0.0000)  2 Ta 2.07